Version 1
{"formula": "Mn3HPt", "functional": "PBE", "state": "optimized geometry", "vol_a3_per_cell": 50.4, "magmom_total_mub_per_fu": 3.10, "sg": "Pm-3m (221)", "cell": [[3.6950, 0.0000, 0.0000], [0.0000, 3.6950, 0.0000], [0.0000, 0.0000, 3.6950]], "species": ["Mn", "Mn", "Mn", "H", "Pt"], "fractional_positions": [[0.5000, 0.0000, 0.0000], [0.0000, 0.5000, 0.0000], [0.0000, 0.0000, 0.5000], [0.0000, 0.0000, 0.0000], [0.5000, 0.5000, 0.5000]]}

Version 2
{"formula": "Mn3HPt", "functional": "PBE", "state": "optimized geometry", "vol_a3_per_cell": 120.3, "magmom_total_mub_per_fu": 13.76, "sg": "Pm-3m (221)", "cell": [[-4.5800, 1.1705, -1.4230], [-1.5527, -0.3993, 4.6692], [0.9919, 4.7793, 0.7386]], "species": ["Pt", "Mn", "Mn", "Mn", "H"], "fractional_positions": [[0.0000, 0.0000, 0.0000], [0.0000, 0.0000, 0.5000], [0.0000, 0.5000, 0.0000], [0.5000, 0.0000, 0.0000], [0.5000, 0.5000, 0.5000]]}

Which one sits at the bottom of the stability order? version 2 does.

Version 1
{"formula": "MnHPt2", "functional": "PBE", "state": "optimized geometry", "vol_a3_per_cell": 51.4, "magmom_total_mub_per_fu": 4.05, "sg": "Fm-3m (225)", "cell": [[-0.8881, -0.9219, 3.9724], [-2.1791, 2.6911, 2.3298], [-3.9225, -0.8983, 1.1070]], "species": ["Mn", "Pt", "Pt", "H"], "fractional_positions": [[0.5000, 0.5000, 0.5000], [0.2500, 0.2500, 0.2500], [0.7500, 0.7500, 0.7500], [0.0000, 0.0000, 0.0000]]}

Version 2
{"formula": "MnHPt2", "functional": "PBE", "state": "optimized geometry", "vol_a3_per_cell": 101.1, "magmom_total_mub_per_fu": 4.28, "sg": "I-42d (122)", "cell": [[-0.7448, -0.0881, -6.1419], [6.0405, -1.1334, -0.7162], [2.1719, -3.2074, -3.3341]], "species": ["Pt", "Pt", "Pt", "Pt", "Mn", "Mn", "H", "H"], "fractional_positions": [[0.5288, 0.1250, 0.2500], [0.2212, 0.6250, 0.2500], [0.8750, 0.7788, 0.7500], [0.3750, 0.4712, 0.7500], [0.7500, 0.2500, 0.5000], [0.0000, 0.0000, 0.0000], [0.5000, 0.5000, 0.0000], [0.2500, 0.7500, 0.5000]]}

Which one sits at the bottom of the stability order? version 1 does.

Version 1
{"formula": "MnHPt3", "functional": "PBE", "state": "optimized geometry", "vol_a3_per_cell": 94.1, "magmom_total_mub_per_fu": 0.02, "sg": "Pm-3m (221)", "cell": [[4.5488, 0.0000, 0.0000], [0.0000, 4.5488, 0.0000], [0.0000, 0.0000, 4.5488]], "species": ["Pt", "Pt", "Pt", "Mn", "H"], "fractional_positions": [[0.0000, 0.5000, 0.0000], [0.0000, 0.0000, 0.5000], [0.5000, 0.0000, 0.0000], [0.0000, 0.0000, 0.0000], [0.5000, 0.5000, 0.5000]]}

Version 2
{"formula": "MnHPt3", "functional": "PBE", "state": "optimized geometry", "vol_a3_per_cell": 64.6, "magmom_total_mub_per_fu": 4.48, "sg": "Pm-3m (221)", "cell": [[4.0121, 0.0000, 0.0000], [0.0000, 4.0121, 0.0000], [0.0000, 0.0000, 4.0121]], "species": ["Pt", "Pt", "Pt", "H", "Mn"], "fractional_positions": [[0.0000, 0.5000, 0.0000], [0.5000, 0.0000, 0.0000], [0.0000, 0.0000, 0.5000], [0.0000, 0.0000, 0.0000], [0.5000, 0.5000, 0.5000]]}

Which one sits at the bottom of the stability order? version 1 does.

Version 1
{"formula": "MnH2Pt2", "functional": "PBE", "state": "optimized geometry", "vol_a3_per_cell": 109.1, "magmom_total_mub_per_fu": 3.93, "sg": "P4/mbm (127)", "cell": [[-1.1209, 3.4545, -4.0343], [2.4036, -3.3469, -3.5337], [-3.2319, -1.7169, -0.5722]], "species": ["Pt", "Pt", "Pt", "Pt", "H", "H", "H", "H", "Mn", "Mn"], "fractional_positions": [[0.6807, 0.8193, 0.5000], [0.8193, 0.3193, 0.5000], [0.1807, 0.6807, 0.5000], [0.3193, 0.1807, 0.5000], [0.1678, 0.6678, 0.0000], [0.6678, 0.8322, 0.0000], [0.8322, 0.3322, 0.0000], [0.3322, 0.1678, 0.0000], [0.5000, 0.5000, 0.0000], [0.0000, 0.0000, 0.0000]]}

Version 2
{"formula": "MnH2Pt2", "functional": "PBE", "state": "optimized geometry", "vol_a3_per_cell": 52.8, "magmom_total_mub_per_fu": 4.23, "sg": "I4/mmm (139)", "cell": [[-1.6027, -2.4245, -0.0425], [0.8912, -0.6363, 2.6925], [-5.2023, 1.6320, 3.6765]], "species": ["H", "H", "Pt", "Pt", "Mn"], "fractional_positions": [[0.2500, 0.7500, 0.5000], [0.7500, 0.2500, 0.5000], [0.6453, 0.6453, 0.7093], [0.3547, 0.3547, 0.2907], [0.0000, 0.0000, 0.0000]]}

Which one sits at the bottom of the stability order? version 2 does.

Version 1
{"formula": "Mn2HPtRh", "functional": "PBE", "state": "optimized geometry", "vol_a3_per_cell": 53.4, "magmom_total_mub_per_fu": 0.00, "sg": "P4/mmm (123)", "cell": [[3.7521, 0.0000, 0.0000], [0.0000, 3.7521, 0.0000], [0.0000, 0.0000, 3.7942]], "species": ["Rh", "H", "Pt", "Mn", "Mn"], "fractional_positions": [[0.0000, 0.0000, 0.5000], [0.0000, 0.0000, 0.0000], [0.5000, 0.5000, 0.5000], [0.5000, 0.0000, 0.0000], [0.0000, 0.5000, 0.0000]]}

Version 2
{"formula": "Mn2HPtRh", "functional": "PBE", "state": "optimized geometry", "vol_a3_per_cell": 53.7, "magmom_total_mub_per_fu": 0.00, "sg": "P4/mmm (123)", "cell": [[3.7534, 0.0000, 0.0000], [0.0000, 3.7534, 0.0000], [0.0000, 0.0000, 3.8143]], "species": ["Rh", "Mn", "Mn", "Pt", "H"], "fractional_positions": [[0.5000, 0.5000, 0.5000], [0.5000, 0.0000, 0.0000], [0.0000, 0.5000, 0.0000], [0.0000, 0.0000, 0.5000], [0.0000, 0.0000, 0.0000]]}

Which one sits at the bottom of the stability order? version 2 does.

Version 1
{"formula": "MnHPtRh2", "functional": "PBE", "state": "optimized geometry", "vol_a3_per_cell": 59.8, "magmom_total_mub_per_fu": 3.91, "sg": "P4/mmm (123)", "cell": [[-0.9481, -2.6656, 2.6642], [3.6615, -1.3022, 0.0002], [0.9092, 2.5569, 2.8818]], "species": ["Rh", "Rh", "Pt", "Mn", "H"], "fractional_positions": [[0.0000, 0.5000, 0.0000], [0.5000, 0.0000, 0.0000], [0.5000, 0.5000, 0.5000], [0.0000, 0.0000, 0.5000], [0.0000, 0.0000, 0.0000]]}

Version 2
{"formula": "MnHPtRh2", "functional": "PBE", "state": "optimized geometry", "vol_a3_per_cell": 60.6, "magmom_total_mub_per_fu": 3.91, "sg": "P4/mmm (123)", "cell": [[3.9314, 0.0000, 0.0000], [0.0000, 3.9314, 0.0000], [0.0000, 0.0000, 3.9201]], "species": ["Mn", "Rh", "Rh", "Pt", "H"], "fractional_positions": [[0.5000, 0.5000, 0.5000], [0.5000, 0.0000, 0.0000], [0.0000, 0.5000, 0.0000], [0.0000, 0.0000, 0.5000], [0.0000, 0.0000, 0.0000]]}

Which one sits at the bottom of the stability order? version 2 does.

Version 1
{"formula": "MnHRuPt2", "functional": "PBE", "state": "optimized geometry", "vol_a3_per_cell": 61.3, "magmom_total_mub_per_fu": 3.59, "sg": "P4/mmm (123)", "cell": [[-3.1250, 0.6480, -2.2178], [1.6392, -2.0073, -2.8962], [-1.7016, -3.4109, 1.4010]], "species": ["Mn", "Pt", "Pt", "H", "Ru"], "fractional_positions": [[0.0000, 0.0000, 0.5000], [0.5000, 0.0000, 0.0000], [0.0000, 0.5000, 0.0000], [0.0000, 0.0000, 0.0000], [0.5000, 0.5000, 0.5000]]}

Version 2
{"formula": "MnHRuPt2", "functional": "PBE", "state": "optimized geometry", "vol_a3_per_cell": 61.8, "magmom_total_mub_per_fu": 3.57, "sg": "P4/mmm (123)", "cell": [[-1.8070, -3.2335, 1.3577], [-0.7206, -1.1524, -3.7036], [3.4552, -1.9575, -0.0632]], "species": ["Pt", "Pt", "Ru", "H", "Mn"], "fractional_positions": [[0.0000, 0.5000, 0.0000], [0.5000, 0.0000, 0.0000], [0.0000, 0.0000, 0.5000], [0.0000, 0.0000, 0.0000], [0.5000, 0.5000, 0.5000]]}

Which one sits at the bottom of the stability order? version 1 does.

Version 1
{"formula": "TaMn2HPt", "functional": "PBE", "state": "optimized geometry", "vol_a3_per_cell": 57.9, "magmom_total_mub_per_fu": 2.54, "sg": "P4/mmm (123)", "cell": [[3.8369, 0.0000, 0.0000], [0.0000, 3.8369, 0.0000], [0.0000, 0.0000, 3.9344]], "species": ["H", "Mn", "Mn", "Pt", "Ta"], "fractional_positions": [[0.0000, 0.0000, 0.0000], [0.5000, 0.0000, 0.0000], [0.0000, 0.5000, 0.0000], [0.5000, 0.5000, 0.5000], [0.0000, 0.0000, 0.5000]]}

Version 2
{"formula": "TaMn2HPt", "functional": "PBE", "state": "optimized geometry", "vol_a3_per_cell": 59.6, "magmom_total_mub_per_fu": 3.88, "sg": "P4/mmm (123)", "cell": [[-1.9436, -2.2400, 2.6649], [3.1226, 0.2276, 2.4687], [-1.4480, 3.0958, 1.5461]], "species": ["Mn", "Mn", "Ta", "H", "Pt"], "fractional_positions": [[0.5000, 0.0000, 0.0000], [0.0000, 0.5000, 0.0000], [0.5000, 0.5000, 0.5000], [0.0000, 0.0000, 0.0000], [0.0000, 0.0000, 0.5000]]}

Which one sits at the bottom of the stability order? version 2 does.

Version 1
{"formula": "Mn2ZnHPt", "functional": "PBE", "state": "optimized geometry", "vol_a3_per_cell": 57.7, "magmom_total_mub_per_fu": 6.33, "sg": "P4/mmm (123)", "cell": [[-2.4042, -2.4081, 1.5584], [-1.3475, -0.8469, -3.3875], [2.7880, -3.0136, -0.3556]], "species": ["H", "Mn", "Mn", "Zn", "Pt"], "fractional_positions": [[0.0000, 0.0000, 0.0000], [0.0000, 0.5000, 0.0000], [0.5000, 0.0000, 0.0000], [0.0000, 0.0000, 0.5000], [0.5000, 0.5000, 0.5000]]}

Version 2
{"formula": "Mn2ZnHPt", "functional": "PBE", "state": "optimized geometry", "vol_a3_per_cell": 59.5, "magmom_total_mub_per_fu": 6.89, "sg": "P4/mmm (123)", "cell": [[-2.7814, -2.0722, -1.8425], [2.1093, 0.1128, -3.3110], [1.7673, -3.2740, 1.0144]], "species": ["Zn", "H", "Pt", "Mn", "Mn"], "fractional_positions": [[0.5000, 0.5000, 0.5000], [0.0000, 0.0000, 0.0000], [0.0000, 0.0000, 0.5000], [0.5000, 0.0000, 0.0000], [0.0000, 0.5000, 0.0000]]}

Which one sits at the bottom of the stability order? version 1 does.

Version 1
{"formula": "Pu2MnH", "functional": "PBE", "state": "optimized geometry", "vol_a3_per_cell": 66.4, "magmom_total_mub_per_fu": 8.53, "sg": "R-3m (166)", "cell": [[-3.7443, 0.4635, -0.3286], [-2.0375, -2.4438, -2.0541], [-2.6829, -3.6835, 3.5524]], "species": ["H", "Pu", "Pu", "Mn"], "fractional_positions": [[0.0000, 0.0000, 0.0000], [0.2619, 0.2619, 0.2143], [0.7381, 0.7381, 0.7857], [0.5000, 0.5000, 0.5000]]}

Version 2
{"formula": "Pu2MnH", "functional": "PBE", "state": "optimized geometry", "vol_a3_per_cell": 65.3, "magmom_total_mub_per_fu": 8.94, "sg": "P4/mmm (123)", "cell": [[-0.6747, -2.4308, 1.7955], [3.0175, -0.4414, 0.5364], [-0.3635, 4.1078, 5.4247]], "species": ["Mn", "Pu", "Pu", "H"], "fractional_positions": [[0.5000, 0.5000, 0.0000], [0.0000, 0.0000, 0.7314], [0.0000, 0.0000, 0.2686], [0.5000, 0.5000, 0.5000]]}

Which one sits at the bottom of the stability order? version 1 does.

Version 1
{"formula": "PuMnH4", "functional": "PBE", "state": "optimized geometry", "vol_a3_per_cell": 101.6, "magmom_total_mub_per_fu": 4.01, "sg": "Cmcm (63)", "cell": [[-3.2639, -1.4164, 0.9525], [2.1612, -3.3355, 2.4456], [1.5332, 4.1624, 4.3222]], "species": ["H", "H", "H", "H", "H", "H", "H", "H", "Pu", "Pu", "Mn", "Mn"], "fractional_positions": [[0.0000, 0.5000, 0.0000], [0.0000, 0.0000, 0.0000], [0.8031, 0.0044, 0.6062], [0.5907, 0.7500, 0.1814], [0.4093, 0.2500, 0.8186], [0.1969, 0.5044, 0.3938], [0.1969, 0.9956, 0.3938], [0.8031, 0.4956, 0.6062], [0.6321, 0.2500, 0.2641], [0.3679, 0.7500, 0.7359], [0.9016, 0.2500, 0.8033], [0.0984, 0.7500, 0.1967]]}

Version 2
{"formula": "PuMnH4", "functional": "PBE", "state": "optimized geometry", "vol_a3_per_cell": 103.9, "magmom_total_mub_per_fu": 6.42, "sg": "C2/c (15)", "cell": [[4.3255, -0.0888, 0.0000], [-1.3364, 5.5542, 0.0000], [-1.4945, -2.7327, 4.3452]], "species": ["H", "H", "H", "H", "H", "H", "H", "H", "Mn", "Mn", "Pu", "Pu"], "fractional_positions": [[0.9688, 0.1582, 0.8935], [0.0312, 0.8418, 0.1065], [0.8900, 0.6434, 0.5820], [0.8080, 0.0615, 0.4180], [0.1920, 0.9385, 0.5820], [0.5752, 0.2646, 0.1065], [0.4248, 0.7354, 0.8935], [0.1100, 0.3566, 0.4180], [0.1921, 0.9421, 0.8842], [0.8079, 0.0579, 0.1158], [0.4062, 0.6562, 0.3125], [0.5938, 0.3438, 0.6875]]}

Which one sits at the bottom of the stability order? version 2 does.

Version 1
{"formula": "Rb2MnH5", "functional": "PBE", "state": "optimized geometry", "vol_a3_per_cell": 155.8, "magmom_total_mub_per_fu": 4.00, "sg": "I4mm (107)", "cell": [[-0.6313, 5.9710, 0.0208], [-4.5178, -3.3770, -2.0586], [0.0852, -2.9157, 5.2482]], "species": ["H", "H", "H", "H", "H", "Rb", "Rb", "Mn"], "fractional_positions": [[0.0000, 0.7981, 0.1774], [0.3793, 0.1774, 0.1774], [0.0000, 0.2372, 0.2372], [0.0000, 0.1774, 0.7981], [0.6207, 0.7981, 0.7981], [0.5000, 0.7524, 0.2524], [0.5000, 0.2524, 0.7524], [0.0000, 0.0291, 0.0291]]}

Version 2
{"formula": "Rb2MnH5", "functional": "PBE", "state": "optimized geometry", "vol_a3_per_cell": 141.8, "magmom_total_mub_per_fu": 3.15, "sg": "P4/mmm (123)", "cell": [[3.7829, 0.0000, 0.0000], [0.0000, 6.1218, 0.0000], [0.0000, 0.0000, 6.1218]], "species": ["H", "H", "H", "H", "H", "Rb", "Rb", "Mn"], "fractional_positions": [[0.0000, 0.1949, 0.8051], [0.0000, 0.8051, 0.1949], [0.0000, 0.8051, 0.8051], [0.5000, 0.0000, 0.0000], [0.0000, 0.1949, 0.1949], [0.5000, 0.0000, 0.5000], [0.5000, 0.5000, 0.0000], [0.0000, 0.0000, 0.0000]]}

Which one sits at the bottom of the stability order? version 1 does.

Version 1
{"formula": "RbYMnH2", "functional": "PBE", "state": "optimized geometry", "vol_a3_per_cell": 154.6, "magmom_total_mub_per_fu": 5.47, "sg": "P4/mmm (123)", "cell": [[-2.9135, -0.4959, 3.3326], [5.0485, -4.6236, 3.7256], [1.7399, 3.5514, 2.0496]], "species": ["H", "H", "Rb", "Y", "Mn"], "fractional_positions": [[0.5000, 0.0000, 0.0000], [0.0000, 0.0000, 0.5000], [0.0000, 0.5000, 0.0000], [0.0000, 0.0000, 0.0000], [0.5000, 0.5000, 0.5000]]}

Version 2
{"formula": "RbYMnH2", "functional": "PBE", "state": "optimized geometry", "vol_a3_per_cell": 118.3, "magmom_total_mub_per_fu": 3.34, "sg": "P4/mmm (123)", "cell": [[-4.1809, -0.4863, 1.9075], [1.3989, -5.0594, 1.7763], [1.5857, 1.8216, 3.9399]], "species": ["H", "H", "Y", "Rb", "Mn"], "fractional_positions": [[0.5000, 0.0000, 0.0000], [0.0000, 0.0000, 0.5000], [0.0000, 0.0000, 0.0000], [0.5000, 0.5000, 0.5000], [0.0000, 0.5000, 0.0000]]}

Which one sits at the bottom of the stability order? version 1 does.